First-principles (PBE) data for ScGa2H6 after structural relaxation, as listed in Alexandria.

It has space group Fm-3m (No. 225), with a = 7.0655 Å, b = 7.0655 Å, c = 7.0655 Å, α = 90.00°, β = 90.00° and γ = 90.00°. The asymmetric unit holds Sc at (0.0000, 0.0000, 0.0000), Ga at (0.2500, 0.2500, 0.2500) and H at (0.0000, 0.0000, 0.2703).

As for the density of states at the Fermi level: 0.246 states/eV per atom. As for the energy: -3.28 eV per atom. Its crystal system is cubic. Its mass density is 3.59 g/cm3. The calculation puts the size of the total moment at 0.00 μB per cell.

---

First-principles (PBE) data for Sc6Ga3H after structural relaxation, as listed in Alexandria.

It has space group Cmc2_1 (No. 36), with a = 11.2294 Å, b = 13.0800 Å, c = 5.1652 Å, α = 90.00°, β = 90.00° and γ = 90.00°. The asymmetric unit holds Sc at (0.0000, 0.0871, 0.0000), Sc at (0.0000, 0.3090, 0.5957), Sc at (0.1671, 0.2853, 0.0779), Sc at (0.2253, 0.4447, 0.5051), Ga at (0.0000, 0.4640, 0.2103), Ga at (0.1210, 0.1163, 0.4935) and H at (0.0000, 0.2447, 0.9554).

As for the density of states at the Fermi level: 0.949 states/eV per atom. As for the energy: -5.46 eV per atom. Its crystal system is orthorhombic. Its mass density is 4.20 g/cm3. The calculation puts the size of the total moment at 0.00 μB per cell.

---

First-principles (PBE) data for Sc12Ga3H5 after structural relaxation, as listed in Alexandria.

It has space group Ia-3d (No. 230), with a = 14.1387 Å, b = 14.1387 Å, c = 14.1387 Å, α = 90.00°, β = 90.00° and γ = 90.00°. The asymmetric unit holds Sc at (0.0393, 0.0565, 0.6519), Ga at (0.0000, 0.2500, 0.1250), H at (0.0000, 0.0000, 0.0000) and H at (0.0000, 0.2500, 0.3750).

As for the density of states at the Fermi level: 0.874 states/eV per atom. As for the energy: -5.41 eV per atom. Its crystal system is cubic. Its mass density is 3.54 g/cm3. The calculation puts the size of the total moment at 0.01 μB per cell.

---

First-principles (PBE) data for Sc2GaH after structural relaxation, as listed in Alexandria.

It has space group R-3m (No. 166, hexagonal axes), with a = 3.3941 Å, b = 3.3941 Å, c = 23.4234 Å, α = 90.00°, β = 90.00° and γ = 120.00°. The asymmetric unit holds Sc at (0.0000, 0.0000, 0.0798), Ga at (0.0000, 0.0000, 0.5000) and H at (0.0000, 0.0000, 0.0000).

As for the density of states at the Fermi level: 0.473 states/eV per atom. As for the energy: -4.86 eV per atom. Its crystal system is trigonal. Its mass density is 3.42 g/cm3. The calculation puts the size of the total moment at 1.67 μB per cell.